CaCoSi2 at its PBEsol-relaxed geometry. Source: Alexandria, functional SCAN.

Summary:
- Energy relative to the elements, uncorrected: -470 meV/atom
- Calculated volume: 16.65 Å³ per atom

POSCAR file:
```
CaCoSi2
1.0
3.847 0.000 0.000
1.923 3.331 0.000
1.923 1.110 5.199
Co Ca Si
1 1 2
Cartesian
3.847 2.221 2.599 Co
0.000 0.000 0.000 Ca
5.770 3.331 3.205 Si
1.923 1.110 1.994 Si
```

***

CaCo2Si at its PBEsol-relaxed geometry. Source: Alexandria, functional SCAN.

Summary:
- Energy relative to the elements, uncorrected: 277 meV/atom
- Calculated volume: 14.35 Å³ per atom

POSCAR file:
```
CaCo2Si
1.0
4.330 0.000 0.000
2.165 3.750 0.000
2.165 1.250 3.536
Ca Co Si
1 2 1
Cartesian
4.330 2.500 1.768 Ca
6.495 3.750 2.652 Co
0.000 0.000 0.000 Co
2.165 1.250 0.884 Si
```

***

CaTl2CoSi at its PBEsol-relaxed geometry. Source: Alexandria, functional SCAN.

Summary:
- Energy relative to the elements, uncorrected: 1411 meV/atom
- Calculated volume: 27.89 Å³ per atom

POSCAR file:
```
CaTl2CoSi
1.0
4.377 0.000 0.000
0.000 5.645 0.000
0.000 0.000 5.645
Tl Si Ca Co
2 1 1 1
Cartesian
0.000 0.000 2.822 Tl
0.000 2.822 0.000 Tl
2.188 2.822 2.822 Si
0.000 0.000 0.000 Ca
2.188 0.000 0.000 Co
```

***

CaTlCo2Si at its PBEsol-relaxed geometry. Source: Alexandria, functional SCAN.

Summary:
- Energy relative to the elements, uncorrected: 1722 meV/atom
- Calculated volume: 21.20 Å³ per atom

POSCAR file:
```
CaTlCo2Si
1.0
4.526 0.000 0.000
0.000 4.526 0.000
0.000 0.000 5.173
Tl Si Co Ca
1 1 2 1
Cartesian
2.263 2.263 2.587 Tl
0.000 0.000 2.587 Si
0.000 2.263 0.000 Co
2.263 0.000 0.000 Co
0.000 0.000 0.000 Ca
```

***

Ca3Co4Sn13 at its PBEsol-relaxed geometry. Source: Alexandria, functional SCAN.

Summary:
- Calculated volume: 21.25 Å³ per atom
- Uncorrected energy: -28.4948 eV per atom

POSCAR file:
```
Ca3Co4Sn13
1.0
9.472 0.000 0.000
0.000 9.472 0.000
0.000 0.000 9.472
Co Sn Ca
8 26 6
Cartesian
7.104 2.368 2.368 Co
7.104 7.104 2.368 Co
7.104 7.104 7.104 Co
2.368 7.104 7.104 Co
2.368 7.104 2.368 Co
2.368 2.368 7.104 Co
2.368 2.368 2.368 Co
7.104 2.368 7.104 Co
4.736 3.236 1.885 Sn
7.973 0.000 2.851 Sn
0.000 6.622 7.973 Sn
4.736 6.236 7.587 Sn
7.587 4.736 3.236 Sn
4.736 4.736 4.736 Sn
6.236 1.885 4.736 Sn
6.622 7.973 0.000 Sn
4.736 3.236 7.587 Sn
0.000 2.851 7.973 Sn
4.736 6.236 1.885 Sn
1.885 4.736 6.236 Sn
2.851 1.500 0.000 Sn
0.000 2.851 1.500 Sn
1.500 0.000 6.622 Sn
6.236 7.587 4.736 Sn
1.885 4.736 3.236 Sn
3.236 7.587 4.736 Sn
0.000 6.622 1.500 Sn
2.851 7.973 0.000 Sn
1.500 0.000 2.851 Sn
7.973 0.000 6.622 Sn
3.236 1.885 4.736 Sn
6.622 1.500 0.000 Sn
0.000 0.000 0.000 Sn
7.587 4.736 6.236 Sn
0.000 2.368 4.736 Ca
4.736 0.000 7.104 Ca
2.368 4.736 0.000 Ca
4.736 0.000 2.368 Ca
0.000 7.104 4.736 Ca
7.104 4.736 0.000 Ca
```

***

Sr2CaCo at its PBEsol-relaxed geometry. Source: Alexandria, functional SCAN.

Summary:
- Calculated volume: 33.10 Å³ per atom
- Uncorrected energy: -17.5852 eV per atom

POSCAR file:
```
Sr2CaCo
1.0
-2.388 1.937 2.022
1.277 -1.612 3.053
6.610 7.128 0.997
Co Ca Sr
1 1 2
Cartesian
2.750 3.727 3.036 Co
-0.555 0.163 2.538 Ca
2.143 2.311 0.324 Sr
2.079 6.754 2.696 Sr
```

***

Ca2TaCo at its PBEsol-relaxed geometry. Source: Alexandria, functional SCAN.

Summary:
- Calculated volume: 21.80 Å³ per atom
- Energy above the most stable polymorph in this dataset: 0.6564 eV/atom

POSCAR file:
```
Ca2TaCo
1.0
2.964 0.000 0.000
0.000 5.425 0.000
0.000 0.000 5.425
Ca Co Ta
2 1 1
Cartesian
0.000 2.712 0.000 Ca
0.000 0.000 2.712 Ca
1.482 2.712 2.712 Co
1.482 0.000 0.000 Ta
```

***

CaTaCo at its PBEsol-relaxed geometry. Source: Alexandria, functional SCAN.

Summary:
- Calculated volume: 19.06 Å³ per atom
- Uncorrected energy: -29.8374 eV per atom

POSCAR file:
```
CaTaCo
1.0
4.325 0.000 0.000
2.162 3.745 0.000
2.162 1.248 3.531
Co Ca Ta
1 1 1
Cartesian
4.325 2.497 1.765 Co
0.000 0.000 0.000 Ca
2.162 1.248 0.883 Ta
```

***

Ca2TaCo at its PBEsol-relaxed geometry. Source: Alexandria, functional SCAN.

Summary:
- Calculated volume: 21.82 Å³ per atom
- Energy above the most stable polymorph in this dataset: 0.7020 eV/atom

POSCAR file:
```
Ca2TaCo
1.0
-1.058 -3.888 2.925
3.485 -1.852 3.036
-0.400 0.624 4.924
Ta Co Ca
1 1 2
Cartesian
1.013 -2.558 5.442 Ta
0.000 0.000 0.000 Co
1.520 -3.837 8.163 Ca
0.507 -1.279 2.721 Ca
```

***

Ca2TaCo at its PBEsol-relaxed geometry. Source: Alexandria, functional SCAN.

Summary:
- Calculated volume: 25.94 Å³ per atom
- Energy above the most stable polymorph in this dataset: 0.0046 eV/atom

POSCAR file:
```
Ca2TaCo
1.0
3.612 0.000 0.000
1.806 3.129 0.000
1.806 1.043 9.182
Ca Co Ta
2 1 1
Cartesian
5.419 3.129 0.430 Ca
5.419 3.129 6.066 Ca
3.612 2.086 4.163 Co
1.806 1.043 3.114 Ta
```

***

Ca2TaCo at its PBEsol-relaxed geometry. Source: Alexandria, functional SCAN.

Summary:
- Calculated volume: 24.82 Å³ per atom
- Energy above the most stable polymorph in this dataset: 0.0000 eV/atom

POSCAR file:
```
Ca2TaCo
1.0
-2.280 1.745 -1.300
-2.496 -2.647 0.824
0.947 4.131 7.703
Ca Co Ta
2 1 1
Cartesian
-2.830 0.678 2.053 Ca
-0.998 2.550 5.173 Ca
-1.248 -1.324 0.412 Co
-1.140 0.872 -0.650 Ta
```

***

CaCo2Tc at its PBEsol-relaxed geometry. Source: Alexandria, functional SCAN.

Summary:
- Calculated volume: 14.43 Å³ per atom
- Energy above the most stable polymorph in this dataset: 0.1188 eV/atom

POSCAR file:
```
CaCo2Tc
1.0
2.720 0.000 -0.038
0.000 4.190 0.000
-0.915 0.000 5.075
Co Tc Ca
2 1 1
Cartesian
2.294 0.000 0.024 Co
2.182 2.095 1.431 Co
0.997 0.000 2.021 Tc
-0.044 2.095 4.040 Ca
```

***

CaCoTc2 at its PBEsol-relaxed geometry. Source: Alexandria, functional SCAN.

Summary:
- Calculated volume: 15.06 Å³ per atom
- Energy above the most stable polymorph in this dataset: 0.0000 eV/atom

POSCAR file:
```
CaCoTc2
1.0
-0.594 0.142 -3.000
-4.106 -0.700 0.779
-0.712 4.575 0.358
Tc Ca Co
2 1 1
Cartesian
-2.350 -0.279 -1.110 Tc
0.000 0.000 0.000 Tc
-0.653 2.359 -1.321 Ca
-2.409 1.937 0.569 Co
```

***

Ca2CoTc at its PBEsol-relaxed geometry. Source: Alexandria, functional SCAN.

Summary:
- Calculated volume: 18.65 Å³ per atom
- Uncorrected energy: -17.1162 eV per atom

POSCAR file:
```
Ca2CoTc
1.0
4.088 0.000 0.000
0.000 4.088 0.000
-2.044 -2.044 4.463
Ca Tc Co
2 1 1
Cartesian
0.000 2.044 2.231 Ca
2.044 0.000 2.231 Ca
0.000 0.000 0.000 Tc
2.044 2.044 0.000 Co
```

***

CaCo2Tc at its PBEsol-relaxed geometry. Source: Alexandria, functional SCAN.

Summary:
- Calculated volume: 14.08 Å³ per atom
- Energy above the most stable polymorph in this dataset: 0.1262 eV/atom

POSCAR file:
```
CaCo2Tc
1.0
2.627 0.000 0.000
0.000 4.652 -0.104
-1.313 -1.274 4.637
Tc Ca Co
1 1 2
Cartesian
0.000 0.741 4.312 Tc
0.000 3.010 2.326 Ca
0.000 -0.052 0.308 Co
1.313 0.732 2.172 Co
```

***

CaCoTc at its PBEsol-relaxed geometry. Source: Alexandria, functional SCAN.

Summary:
- Calculated volume: 19.10 Å³ per atom
- Uncorrected energy: -18.8686 eV per atom

POSCAR file:
```
CaCoTc
1.0
4.327 0.000 0.000
2.164 3.747 0.000
2.164 1.249 3.533
Ca Co Tc
1 1 1
Cartesian
2.164 1.249 0.883 Ca
0.000 0.000 0.000 Co
4.327 2.498 1.767 Tc
```

***

CaCoTc2 at its PBEsol-relaxed geometry. Source: Alexandria, functional SCAN.

Summary:
- Calculated volume: 14.96 Å³ per atom
- Energy above the most stable polymorph in this dataset: 0.0237 eV/atom

POSCAR file:
```
CaCoTc2
1.0
2.582 -0.003 0.000
-1.088 4.994 0.000
-0.747 -2.496 4.641
Tc Ca Co
2 1 1
Cartesian
-0.374 -1.248 2.321 Tc
0.374 1.248 2.321 Tc
1.291 -0.001 0.000 Ca
-0.544 2.497 0.000 Co
```

***

CaCoTc4 at its PBEsol-relaxed geometry. Source: Alexandria, functional SCAN.

Summary:
- Calculated volume: 15.91 Å³ per atom
- Uncorrected energy: -27.3674 eV per atom

POSCAR file:
```
CaCoTc4
1.0
-3.987 -1.706 2.740
0.620 -1.225 4.943
-2.056 2.957 3.653
Co Tc Ca
1 4 1
Cartesian
0.000 0.000 0.000 Co
-4.032 -0.846 5.620 Tc
-2.031 0.010 4.246 Tc
-3.063 1.494 6.079 Tc
-1.720 -0.605 6.726 Tc
-4.067 0.020 8.501 Ca
```

***

CaCo2Tc at its PBEsol-relaxed geometry. Source: Alexandria, functional SCAN.

Summary:
- Calculated volume: 13.99 Å³ per atom
- Energy above the most stable polymorph in this dataset: 0.0000 eV/atom

POSCAR file:
```
CaCo2Tc
1.0
-2.693 0.214 -0.551
-0.950 -0.838 4.324
0.167 4.413 0.894
Co Ca Tc
2 1 1
Cartesian
0.084 2.207 0.447 Co
-0.475 -0.419 2.162 Co
-1.738 1.895 2.333 Ca
-1.347 0.107 -0.275 Tc
```

***

CaCoTe2 at its PBEsol-relaxed geometry. Source: Alexandria, functional SCAN.

Summary:
- Energy relative to the elements, uncorrected: -363 meV/atom
- Calculated volume: 36.30 Å³ per atom

POSCAR file:
```
CaCoTe2
1.0
4.515 0.000 0.000
2.258 3.910 0.000
2.258 1.303 8.224
Co Te Ca
1 2 1
Cartesian
0.000 0.000 0.000 Co
2.258 1.303 5.824 Te
6.773 3.910 2.400 Te
4.515 2.607 4.112 Ca
```